{
  "formula": "CdCuF2",
  "functional": "PBE",
  "state": "optimized geometry",
  "lattice": [[-1.987, 3.616, 2.943], [-4.178, -2.802, 0.622], [-0.908, -1.884, 6.066]],
  "species": ["Cu", "Cd", "Cu", "F", "Cd", "F", "F", "F"],
  "fractional_positions": [[0.250, 0.750, 0.500], [0.000, 0.000, 0.000], [0.500, 0.500, 0.000], [0.375, 0.420, 0.750], [0.750, 0.250, 0.500], [0.170, 0.625, 0.250], [0.580, 0.125, 0.250], [0.875, 0.830, 0.750]],
  "m_tot_mub_per_fu": 0.0,
  "e_above_lowest_polymorph_ev_per_atom": 0.114,
  "sg": "I-42d, No. 122",
  "mass_density_g_cm3": 5.2,
  "e_form_raw_ev_per_atom": -1.10
}